No. 1
NpTlCd4 | PBE | optimized geometry

## Properties
SG: F-43m, No. 216
Calculated density (Mg/m³): 9.7

Cell: 5.9981 5.9981 5.9981 Å, 60.00 60.00 60.00°
Closest atoms and distances in Å follow each position.
Positions (direct):
Np (0.0000, 0.0000, 0.0000)  12 Cd 3.52, 4 Tl 3.67
Tl (0.2500, 0.2500, 0.2500)  12 Cd 3.52, 4 Np 3.67
Cd (0.1237, 0.6254, 0.6254)  6 Cd 2.99-3.01
Cd (0.6254, 0.1237, 0.6254)  6 Cd 2.99-3.01
Cd (0.6254, 0.6254, 0.1237)  6 Cd 2.99-3.01
Cd (0.6254, 0.6254, 0.6254)  6 Cd 2.99-3.01


No. 2
BPIrAu | PBE | optimized geometry

## Properties
SG: Cm, No. 8
ΔE to the lowest computed polymorph (kJ/mol of formula units): 55
Calculated density (Mg/m³): 13.0

Cell: 8.3515 2.8856 5.0329 Å, 90.00 114.69 90.00°
Closest atoms and distances in Å follow each position.
Positions (direct):
B (0.0000, 0.0000, 0.0000)  1 P 1.97
B (0.5000, 0.5000, 0.0000)  1 P 1.97
P (0.1164, 0.0000, 0.4307)  1 B 1.97
P (0.6165, 0.5000, 0.4307)  1 B 1.97
Ir (0.4468, 0.0000, 0.6379)  2 B 2.22
Ir (0.9468, 0.5000, 0.6379)  2 B 2.22
Au (0.2762, 0.0000, 0.0123)  3 B 2.28-2.38
Au (0.7762, 0.5000, 0.0123)  3 B 2.28-2.38


| no. | total energy (eV per atom) | DOS(E_F) (states/eV/atom) | DFT formation energy (meV per atom) |
| --- | --- | --- | --- |
| 1 | -2.941 | 1.906 | 220 |
| 2 | -5.883 | 0.389 | 174 |